Density functional theory data (PBE) for a relaxed structure of Sc4Ta2Si3C3.

Lattice parameters (Å, degrees): 5.640 5.640 13.761 102.12 102.12 60.10
Positions (direct):
1 Sc 0.040 0.192 0.098
2 Sc 0.125 0.301 0.402
3 Sc 0.192 0.040 0.598
4 Sc 0.301 0.125 0.902
5 Sc 0.699 0.875 0.098
6 Sc 0.808 0.960 0.402
7 Sc 0.875 0.699 0.598
8 Sc 0.960 0.808 0.902
9 Ta 0.353 0.527 0.081
10 Ta 0.473 0.647 0.419
11 Ta 0.527 0.353 0.581
12 Ta 0.647 0.473 0.919
13 Si 0.148 0.852 0.250
14 Si 0.316 0.415 0.751
15 Si 0.415 0.316 0.251
16 Si 0.585 0.684 0.749
17 Si 0.684 0.585 0.249
18 Si 0.852 0.148 0.750
19 C 0.000 0.500 0.000
20 C 0.179 0.660 0.500
21 C 0.340 0.821 0.000
22 C 0.500 0.000 0.500
23 C 0.660 0.179 0.000
24 C 0.821 0.340 0.500

Electronic total energy, eV/atom: -8.418
Calculated volume, Å³/atom: 15.342
Symmetry: No. 15

***

Density functional theory data (PBE) for a relaxed structure of YHoH4.

Lattice parameters (Å, degrees): 3.638 3.638 5.141 90.00 90.00 90.00
Positions (direct):
1 Y 0.000 0.000 0.000
2 Ho 0.500 0.500 0.500
3 H 0.000 0.500 0.251
4 H 0.000 0.500 0.749
5 H 0.500 0.000 0.251
6 H 0.500 0.000 0.749

Electronic total energy, eV/atom: -4.791
Calculated volume, Å³/atom: 11.339
Symmetry: No. 123

***

Density functional theory data (PBE) for a relaxed structure of SnPPd5.

Lattice parameters (Å, degrees): 3.996 3.996 7.042 90.00 90.00 90.00
Positions (direct):
1 Sn 0.000 0.000 0.000
2 P 0.500 0.500 0.500
3 Pd 0.000 0.500 0.299
4 Pd 0.000 0.500 0.701
5 Pd 0.500 0.000 0.299
6 Pd 0.500 0.000 0.701
7 Pd 0.500 0.500 0.000

Electronic total energy, eV/atom: -5.588
Calculated volume, Å³/atom: 16.061
Symmetry: No. 123

***

Copy entry 3 word for word.
Density functional theory data (PBE) for a relaxed structure of SnPPd5.

Lattice parameters (Å, degrees): 3.996 3.996 7.042 90.00 90.00 90.00
Positions (direct):
1 Sn 0.000 0.000 0.000
2 P 0.500 0.500 0.500
3 Pd 0.000 0.500 0.299
4 Pd 0.000 0.500 0.701
5 Pd 0.500 0.000 0.299
6 Pd 0.500 0.000 0.701
7 Pd 0.500 0.500 0.000

Electronic total energy, eV/atom: -5.588
Calculated volume, Å³/atom: 16.061
Symmetry: No. 123

***

The highest electronic total energy belongs to which entry? YHoH4

***

Look up the calculated volume of the second one. 11.339 Å³/atom